No. 1
Computed, not measured: a relaxed Ta2BeHg crystal at the PBE level of DFT.

```
Ta2BeHg
1.0
2.927 0.000 0.000
0.000 3.924 0.000
-0.507 0.000 5.811
Ta Be Hg
2 1 1
Direct
0.042 0.000 0.276
0.958 0.000 0.724
0.500 0.500 0.500
0.500 0.500 0.000
```

Calculated values
- ΔE_f (eV per atom) = 0.3012
- relative energy among the computed polymorphs (eV/f.u.) = 0.563
- electronic total energy (eV/atom) = -6.632


No. 2
Computed, not measured: a relaxed TaBeHg2 crystal at the PBE level of DFT.

```
TaBeHg2
1.0
3.884 0.000 0.000
0.000 2.983 0.000
0.000 0.000 12.374
Ta Be Hg
2 2 4
Direct
0.000 0.000 0.000
0.000 0.500 0.500
0.500 0.000 0.569
0.500 0.500 0.069
0.000 0.000 0.709
0.000 0.500 0.209
0.500 0.000 0.358
0.500 0.500 0.858
```

Calculated values
- ΔE_f (eV per atom) = 0.3964
- electronic total energy (eV/atom) = -3.649


No. 3
Computed, not measured: a relaxed Ta2Be2Hg crystal at the PBE level of DFT.

```
Ta2Be2Hg
1.0
6.182 0.000 0.000
0.000 6.182 0.000
0.000 0.000 3.746
Ta Be Hg
4 4 2
Direct
0.164 0.336 0.000
0.336 0.836 0.000
0.664 0.164 0.000
0.836 0.664 0.000
0.120 0.620 0.500
0.380 0.120 0.500
0.620 0.880 0.500
0.880 0.380 0.500
0.000 0.000 0.500
0.500 0.500 0.500
```

Calculated values
- ΔE_f (eV per atom) = 0.0330
- relative energy among the computed polymorphs (eV/f.u.) = 0.000
- electronic total energy (eV/atom) = -6.259


No. 4
Computed, not measured: a relaxed Ta2BeHg crystal at the PBE level of DFT.

```
Ta2BeHg
1.0
6.522 0.000 0.000
0.000 6.522 0.000
0.000 0.000 6.522
Ta Be Hg
8 4 4
Direct
0.000 0.000 0.000
0.000 0.500 0.500
0.250 0.250 0.250
0.250 0.750 0.750
0.500 0.000 0.500
0.500 0.500 0.000
0.750 0.250 0.750
0.750 0.750 0.250
0.250 0.250 0.750
0.250 0.750 0.250
0.750 0.250 0.250
0.750 0.750 0.750
0.000 0.000 0.500
0.000 0.500 0.000
0.500 0.000 0.000
0.500 0.500 0.500
```

Calculated values
- ΔE_f (eV per atom) = 0.7193
- relative energy among the computed polymorphs (eV/f.u.) = 2.235
- electronic total energy (eV/atom) = -6.214


No. 5
Computed, not measured: a relaxed TaBeHg2 crystal at the PBE level of DFT.

```
TaBeHg2
1.0
5.705 0.000 0.000
0.000 9.354 0.000
-0.814 0.000 2.741
Ta Be Hg
2 2 4
Direct
0.000 0.000 0.000
0.500 0.500 0.000
0.000 0.500 0.000
0.500 0.000 0.000
0.250 0.250 0.500
0.250 0.750 0.500
0.750 0.250 0.500
0.750 0.750 0.500
```

Calculated values
- ΔE_f (eV per atom) = 0.6008
- electronic total energy (eV/atom) = -3.445


No. 6
Computed, not measured: a relaxed TaBeHg2 crystal at the PBE level of DFT.

```
TaBeHg2
1.0
4.035 0.000 0.000
0.000 4.035 0.000
0.000 0.000 8.786
Ta Be Hg
2 2 4
Direct
0.000 0.000 0.000
0.500 0.500 0.500
0.000 0.000 0.500
0.500 0.500 0.000
0.000 0.500 0.250
0.000 0.500 0.750
0.500 0.000 0.250
0.500 0.000 0.750
```

Calculated values
- ΔE_f (eV per atom) = 0.6718
- electronic total energy (eV/atom) = -3.374


No. 7
Computed, not measured: a relaxed Ta2BeHg crystal at the PBE level of DFT.

```
Ta2BeHg
1.0
3.949 0.000 0.000
0.000 3.949 0.000
0.000 0.000 4.290
Ta Be Hg
2 1 1
Direct
0.000 0.500 0.000
0.500 0.000 0.000
0.000 0.000 0.500
0.500 0.500 0.500
```

Calculated values
- ΔE_f (eV per atom) = 0.3140
- relative energy among the computed polymorphs (eV/f.u.) = 0.614
- electronic total energy (eV/atom) = -6.619


No. 8
Computed, not measured: a relaxed Ta2Be2Hg crystal at the PBE level of DFT.

```
Ta2Be2Hg
1.0
4.238 0.000 0.000
0.000 4.238 0.000
0.000 0.000 5.197
Ta Be Hg
2 2 1
Direct
0.000 0.000 0.000
0.500 0.500 0.000
0.000 0.500 0.500
0.500 0.000 0.500
0.000 0.000 0.500
```

Calculated values
- ΔE_f (eV per atom) = 1.3665
- relative energy among the computed polymorphs (eV/f.u.) = 6.667
- electronic total energy (eV/atom) = -4.925